The following is a DFT calculation (PBE) of KZnHg3 after structural relaxation.

Values from the calculation:
E_tot: -0.3649 eV/atom
mass density: 3.89 g/cm³
crystal system: cubic
energy above the most stable polymorph in this dataset: 0.4019 eV/atom
energy of formation from the pure elements: 290 meV per atom

Cell and atoms, written as CIF:
```
data_KZnHg3
_symmetry_space_group_name_H-M 'P m -3 m'
_symmetry_Int_Tables_number 221
_symmetry_space_group_name_Hall '-P 4 2 3'
_cell_length_a 6.704
_cell_length_b 6.704
_cell_length_c 6.704
_cell_angle_alpha 90.00
_cell_angle_beta 90.00
_cell_angle_gamma 90.00
loop_
_atom_site_label
_atom_site_fract_x
_atom_site_fract_y
_atom_site_fract_z
K1 0.000 0.000 0.000
Zn1 0.500 0.500 0.500
Hg1 0.000 0.000 0.500
```

=====

The following is a DFT calculation (PBE) of KZrZnHg2 after structural relaxation.

Values from the calculation:
E_tot: -1.0268 eV/atom
mass density: 4.11 g/cm³
crystal system: tetragonal
energy of formation from the pure elements: 1278 meV per atom

Cell and atoms, written as CIF:
```
data_KZrZnHg2
_symmetry_space_group_name_H-M 'P 4/m m m'
_symmetry_Int_Tables_number 123
_symmetry_space_group_name_Hall '-P 4 2'
_cell_length_a 6.086
_cell_length_b 6.086
_cell_length_c 6.504
_cell_angle_alpha 90.00
_cell_angle_beta 90.00
_cell_angle_gamma 90.00
loop_
_atom_site_label
_atom_site_fract_x
_atom_site_fract_y
_atom_site_fract_z
K1 0.000 0.000 0.000
Zr1 0.000 0.000 0.500
Zn1 0.500 0.500 0.500
Hg1 0.000 0.500 0.000
```

=====

The following is a DFT calculation (PBE) of K2ZrHg after structural relaxation.

Values from the calculation:
E_tot: -2.1531 eV/atom
mass density: 4.64 g/cm³
crystal system: orthorhombic
energy of formation from the pure elements: 608 meV per atom

Cell and atoms, written as CIF:
```
data_K2ZrHg
_symmetry_space_group_name_H-M 'C m m m'
_symmetry_Int_Tables_number 65
_symmetry_space_group_name_Hall '-C 2 2'
_cell_length_a 6.632
_cell_length_b 12.181
_cell_length_c 3.277
_cell_angle_alpha 90.00
_cell_angle_beta 90.00
_cell_angle_gamma 90.00
loop_
_atom_site_label
_atom_site_fract_x
_atom_site_fract_y
_atom_site_fract_z
K1 0.250 0.250 0.000
Zr1 0.000 0.000 0.500
Hg1 0.000 0.500 0.500
```

=====

Please write out number 2 again, unchanged.
The following is a DFT calculation (PBE) of KZrZnHg2 after structural relaxation.

Values from the calculation:
E_tot: -1.0268 eV/atom
mass density: 4.11 g/cm³
crystal system: tetragonal
energy of formation from the pure elements: 1278 meV per atom

Cell and atoms, written as CIF:
```
data_KZrZnHg2
_symmetry_space_group_name_H-M 'P 4/m m m'
_symmetry_Int_Tables_number 123
_symmetry_space_group_name_Hall '-P 4 2'
_cell_length_a 6.086
_cell_length_b 6.086
_cell_length_c 6.504
_cell_angle_alpha 90.00
_cell_angle_beta 90.00
_cell_angle_gamma 90.00
loop_
_atom_site_label
_atom_site_fract_x
_atom_site_fract_y
_atom_site_fract_z
K1 0.000 0.000 0.000
Zr1 0.000 0.000 0.500
Zn1 0.500 0.500 0.500
Hg1 0.000 0.500 0.000
```

=====

Which value of mass density does entry 1 give?
3.89 g/cm³

=====

The lowest mass density belongs to which entry?
KZnHg3

=====

Copy entry 2 word for word.
The following is a DFT calculation (PBE) of KZrZnHg2 after structural relaxation.

Values from the calculation:
E_tot: -1.0268 eV/atom
mass density: 4.11 g/cm³
crystal system: tetragonal
energy of formation from the pure elements: 1278 meV per atom

Cell and atoms, written as CIF:
```
data_KZrZnHg2
_symmetry_space_group_name_H-M 'P 4/m m m'
_symmetry_Int_Tables_number 123
_symmetry_space_group_name_Hall '-P 4 2'
_cell_length_a 6.086
_cell_length_b 6.086
_cell_length_c 6.504
_cell_angle_alpha 90.00
_cell_angle_beta 90.00
_cell_angle_gamma 90.00
loop_
_atom_site_label
_atom_site_fract_x
_atom_site_fract_y
_atom_site_fract_z
K1 0.000 0.000 0.000
Zr1 0.000 0.000 0.500
Zn1 0.500 0.500 0.500
Hg1 0.000 0.500 0.000
```